(1)
Density functional theory data (GGA-PBE) for an optimized crystal structure of LiEuTmIn. Values from VASP.

Values from the calculation:
SG   F-43m, No. 216

```
&SYSTEM
  ibrav = 0, nat = 4, ntyp = 4
/
ATOMIC_SPECIES
In 114.82 In.upf
Tm 168.93 Tm.upf
Li 6.94 Li.upf
Eu 151.96 Eu.upf
CELL_PARAMETERS angstrom
-5.0968 0.9351 1.4692
-3.3310 -4.1261 0.9438
-1.5937 -1.0783 5.0307
ATOMIC_POSITIONS crystal
In 0.5000 0.5000 0.5000
Tm 0.2500 0.2500 0.2500
Li 0.0000 0.0000 0.0000
Eu 0.7500 0.7500 0.7500
```

=====

(2)
Density functional theory data (GGA-PBE) for an optimized crystal structure of LiEuZnIn. Values from VASP.

Values from the calculation:
SG   F-43m, No. 216

```
&SYSTEM
  ibrav = 0, nat = 4, ntyp = 4
/
ATOMIC_SPECIES
Zn 65.41 Zn.upf
Li 6.94 Li.upf
In 114.82 In.upf
Eu 151.96 Eu.upf
CELL_PARAMETERS angstrom
4.9632 0.0000 0.0000
2.4816 4.2983 0.0000
2.4816 1.4328 4.0524
ATOMIC_POSITIONS crystal
Zn 0.0000 0.0000 0.0000
Li 0.5000 0.5000 0.5000
In 0.2500 0.2500 0.2500
Eu 0.7500 0.7500 0.7500
```

=====

| no. | DFT total energy (eV per atom) |
| --- | --- |
| 1 | -5.06 |
| 2 | -4.38 |